(1)
Compound: K2InSn
Source: the Alexandria database
Functional: PBE-GGA
Structure: relaxed

Unit cell a=5.903 b=5.903 c=5.903 alpha=60.00 beta=60.00 gamma=60.00
Sites, in units of the cell vectors:
K1 0.750 0.750 0.750
K2 0.250 0.250 0.250
In1 0.000 0.000 0.000
Sn1 0.500 0.500 0.500

Results
The value obtained for the calculated formation energy is 54 meV/atom. The density of states at the Fermi level comes out at 4.466 states/eV per cell. Its volume is 145.5 Å³/cell. Its symmetry is No. 225. Its total energy is -2.180 eV/atom.

=====

(2)
Compound: KInSn
Source: the Alexandria database
Functional: PBE-GGA
Structure: relaxed

Unit cell a=8.742 b=8.742 c=5.059 alpha=90.00 beta=90.00 gamma=148.45
Sites, in units of the cell vectors:
K1 0.582 0.418 0.250
K2 0.418 0.582 0.750
Sn1 0.139 0.861 0.750
Sn2 0.861 0.139 0.250
In1 0.248 0.752 0.250
In2 0.752 0.248 0.750

Results
The value obtained for the calculated formation energy is -192 meV/atom. The density of states at the Fermi level comes out at 1.230 states/eV per cell. Its volume is 202.3 Å³/cell. Its symmetry is No. 63. Its total energy is -2.805 eV/atom.

=====

(3)
Compound: KInSn
Source: the Alexandria database
Functional: PBE-GGA
Structure: relaxed

Unit cell a=3.583 b=3.583 c=7.885 alpha=103.13 beta=103.13 gamma=90.00
Sites, in units of the cell vectors:
K1 0.000 0.000 0.000
In1 0.317 0.317 0.633
Sn1 0.683 0.683 0.366

Results
The value obtained for the calculated formation energy is -116 meV/atom. The density of states at the Fermi level comes out at 1.720 states/eV per cell. Its volume is 95.9 Å³/cell. Its symmetry is No. 107. Its total energy is -2.729 eV/atom.

=====

(4)
Compound: K2In3Sn2
Source: the Alexandria database
Functional: PBE-GGA
Structure: relaxed

Unit cell a=4.822 b=6.952 c=8.030 alpha=114.88 beta=90.00 gamma=110.29
Sites, in units of the cell vectors:
In1 0.500 0.000 0.000
Sn1 0.844 0.689 0.729
In2 0.591 0.182 0.434
Sn2 0.156 0.311 0.271
In3 0.409 0.818 0.566
K1 0.850 0.699 0.207
K2 0.150 0.301 0.793

Results
The value obtained for the calculated formation energy is -147 meV/atom. The density of states at the Fermi level comes out at 3.053 states/eV per cell. Its volume is 225.7 Å³/cell. Its symmetry is No. 12. Its total energy is -2.778 eV/atom.

=====

- Look up the calculated formation energy of the fourth one.
  -147 meV/atom

=====

- Which value of calculated formation energy does entry 2 give?
  -192 meV/atom

=====

- calculated formation energy of number 1 (K2InSn)?
  54 meV/atom